Entry 1:
Entry from Alexandria: LiBPd2 after structural relaxation (PBE-GGA).

Computed properties:
Uncorrected energy (eV for the cell shown): -19.52
N(E_F) (states/eV/f.u.): 1.693
Energy of formation (meV per atom): -136
SG: P4/mmm (123)

Cell: 2.738 2.738 6.582 Å, 90.00 90.00 90.00°
Fractional positions:
Li 0.000 0.000 0.000
B 0.000 0.000 0.500
Pd 0.500 0.500 0.298
Pd 0.500 0.500 0.702



Entry 2:
Entry from Alexandria: LiBPd after structural relaxation (PBE-GGA).

Computed properties:
Uncorrected energy (eV for the cell shown): -29.12
N(E_F) (states/eV/f.u.): 0.676
Energy of formation (meV per atom): -258
SG: P-1 (2)

Cell: 4.254 4.258 4.535 Å, 80.28 80.65 76.23°
Fractional positions:
Li 0.247 0.254 0.001
Li 0.753 0.746 0.999
B 0.337 0.163 0.501
B 0.663 0.837 0.499
Pd 0.201 0.701 0.477
Pd 0.799 0.299 0.523



Entry 3:
Entry from Alexandria: LiBPd2 after structural relaxation (PBE-GGA).

Computed properties:
Uncorrected energy (eV for the cell shown): -39.87
N(E_F) (states/eV/f.u.): 0.781
Energy of formation (meV per atom): -239
SG: I-42d (122)

Cell: 5.320 5.320 5.320 Å, 103.27 103.27 122.73°
Fractional positions:
Li 0.000 0.000 0.000
Li 0.750 0.250 0.500
B 0.250 0.750 0.500
B 0.500 0.500 0.000
Pd 0.222 0.625 0.097
Pd 0.375 0.472 0.597
Pd 0.528 0.125 0.903
Pd 0.875 0.778 0.403



Entry 4:
Entry from Alexandria: Li2BPd8 after structural relaxation (PBE-GGA).

Computed properties:
Uncorrected energy (eV for the cell shown): -52.54
N(E_F) (states/eV/f.u.): 8.539
Energy of formation (meV per atom): -45
SG: C2/m (12)

Cell: 6.911 6.911 4.524 Å, 108.05 108.05 61.63°
Fractional positions:
Li 0.179 0.179 0.434
Li 0.821 0.821 0.566
B 0.000 0.000 0.000
Pd 0.117 0.729 0.191
Pd 0.271 0.883 0.809
Pd 0.290 0.290 0.035
Pd 0.429 0.429 0.678
Pd 0.571 0.571 0.322
Pd 0.710 0.710 0.965
Pd 0.729 0.117 0.191
Pd 0.883 0.271 0.809



Entry 5:
Entry from Alexandria: LiB4Pd12 after structural relaxation (PBE-GGA).

Computed properties:
Uncorrected energy (eV for the cell shown): -95.05
N(E_F) (states/eV/f.u.): 9.304
Energy of formation (meV per atom): -242
SG: Im-3 (204)

Cell: 6.765 6.765 6.765 Å, 109.47 109.47 109.47°
Fractional positions:
Li 0.000 0.000 0.000
B 0.000 0.000 0.500
B 0.000 0.500 0.000
B 0.500 0.000 0.000
B 0.500 0.500 0.500
Pd 0.142 0.317 0.825
Pd 0.175 0.492 0.317
Pd 0.175 0.858 0.683
Pd 0.317 0.175 0.492
Pd 0.317 0.825 0.142
Pd 0.492 0.317 0.175
Pd 0.508 0.683 0.825
Pd 0.683 0.175 0.858
Pd 0.683 0.825 0.508
Pd 0.825 0.142 0.317
Pd 0.825 0.508 0.683
Pd 0.858 0.683 0.175



Entry 6:
Entry from Alexandria: LiBPd6 after structural relaxation (PBE-GGA).

Computed properties:
Uncorrected energy (eV for the cell shown): -40.86
N(E_F) (states/eV/f.u.): 3.883
Energy of formation (meV per atom): -139
SG: R-3m (166)

Cell: 5.038 5.038 5.038 Å, 100.20 100.20 100.20°
Fractional positions:
Li 0.000 0.000 0.000
B 0.500 0.500 0.500
Pd 0.212 0.212 0.602
Pd 0.212 0.602 0.212
Pd 0.398 0.788 0.788
Pd 0.602 0.212 0.212
Pd 0.788 0.398 0.788
Pd 0.788 0.788 0.398



Entry 7:
Entry from Alexandria: LiPm2BPd6 after structural relaxation (PBE-GGA).

Computed properties:
Uncorrected energy (eV for the cell shown): -55.42
N(E_F) (states/eV/f.u.): 3.388
Energy of formation (meV per atom): -617
SG: C2/m (12)

Cell: 5.780 5.780 7.023 Å, 114.19 114.19 59.88°
Fractional positions:
Li 0.000 0.000 0.000
Pm 0.275 0.275 0.826
Pm 0.725 0.725 0.174
B 0.500 0.500 0.500
Pd 0.224 0.735 0.696
Pd 0.265 0.265 0.303
Pd 0.265 0.776 0.304
Pd 0.735 0.224 0.696
Pd 0.735 0.735 0.697
Pd 0.776 0.265 0.304



Entry 8:
Entry from Alexandria: LiPr2BPd6 after structural relaxation (PBE-GGA).

Computed properties:
Uncorrected energy (eV for the cell shown): -55.34
N(E_F) (states/eV/f.u.): 3.568
Energy of formation (meV per atom): -604
SG: R-3m (166)

Cell: 7.082 7.082 7.082 Å, 48.47 48.47 48.47°
Fractional positions:
Li 0.000 0.000 0.000
Pr 0.275 0.275 0.275
Pr 0.725 0.725 0.725
B 0.500 0.500 0.500
Pd 0.224 0.735 0.735
Pd 0.265 0.265 0.776
Pd 0.265 0.776 0.265
Pd 0.735 0.224 0.735
Pd 0.735 0.735 0.224
Pd 0.776 0.265 0.265



Entry 9:
Entry from Alexandria: LiBPdPt after structural relaxation (PBE-GGA).

Computed properties:
Uncorrected energy (eV for the cell shown): -20.54
N(E_F) (states/eV/f.u.): 1.668
Energy of formation (meV per atom): -178
SG: F-43m (216)
Polymorph energy (0 for the lowest one) (kJ per mole of atoms): 12.1

Cell: 3.996 3.996 3.996 Å, 60.00 60.00 60.00°
Fractional positions:
Li 0.000 0.000 0.000
B 0.500 0.500 0.500
Pd 0.250 0.250 0.250
Pt 0.750 0.750 0.750



Entry 10:
Entry from Alexandria: LiB2Pd5Pt2 after structural relaxation (PBE-GGA).

Computed properties:
Uncorrected energy (eV for the cell shown): -110.98
N(E_F) (states/eV/f.u.): 4.349
Energy of formation (meV per atom): -218
SG: P4/mbm (127)

Cell: 9.701 9.701 2.834 Å, 90.00 90.00 90.00°
Fractional positions:
Li 0.000 0.000 0.000
Li 0.500 0.500 0.000
B 0.139 0.361 0.000
B 0.361 0.861 0.000
B 0.639 0.139 0.000
B 0.861 0.639 0.000
Pd 0.000 0.500 0.500
Pd 0.032 0.220 0.500
Pd 0.220 0.968 0.500
Pd 0.280 0.468 0.500
Pd 0.468 0.720 0.500
Pd 0.500 0.000 0.500
Pd 0.532 0.280 0.500
Pd 0.720 0.532 0.500
Pd 0.780 0.032 0.500
Pd 0.968 0.780 0.500
Pt 0.210 0.710 0.000
Pt 0.290 0.210 0.000
Pt 0.710 0.790 0.000
Pt 0.790 0.290 0.000



Entry 11:
Entry from Alexandria: LiBPdPt after structural relaxation (PBE-GGA).

Computed properties:
Uncorrected energy (eV for the cell shown): -21.04
N(E_F) (states/eV/f.u.): 0.856
Energy of formation (meV per atom): -303
SG: Amm2 (38)
Polymorph energy (0 for the lowest one) (kJ per mole of atoms): 0.0

Cell: 2.785 5.556 5.556 Å, 35.37 90.00 90.00°
Fractional positions:
Li 0.000 0.000 0.000
B 0.000 0.776 0.776
Pd 0.500 0.351 0.351
Pt 0.500 0.627 0.627



Entry 12:
Entry from Alexandria: LiPu2BPd6 after structural relaxation (PBE-GGA).

Computed properties:
Uncorrected energy (eV for the cell shown): -72.28
N(E_F) (states/eV/f.u.): 30.649
Energy of formation (meV per atom): -387
SG: C2/m (12)

Cell: 5.732 5.732 7.044 Å, 113.92 113.92 60.00°
Fractional positions:
Li 0.000 0.000 0.000
Pu 0.282 0.282 0.848
Pu 0.718 0.718 0.152
B 0.500 0.500 0.500
Pd 0.225 0.735 0.697
Pd 0.264 0.264 0.304
Pd 0.265 0.775 0.303
Pd 0.735 0.225 0.697
Pd 0.736 0.736 0.696
Pd 0.775 0.265 0.303



> uncorrected energy of number 12 (LiPu2BPd6)?

-72.28 eV for the cell shown



> What is the formula in the first record?

LiBPd2



Copy entry 12 word for word.
Entry from Alexandria: LiPu2BPd6 after structural relaxation (PBE-GGA).

Computed properties:
Uncorrected energy (eV for the cell shown): -72.28
N(E_F) (states/eV/f.u.): 30.649
Energy of formation (meV per atom): -387
SG: C2/m (12)

Cell: 5.732 5.732 7.044 Å, 113.92 113.92 60.00°
Fractional positions:
Li 0.000 0.000 0.000
Pu 0.282 0.282 0.848
Pu 0.718 0.718 0.152
B 0.500 0.500 0.500
Pd 0.225 0.735 0.697
Pd 0.264 0.264 0.304
Pd 0.265 0.775 0.303
Pd 0.735 0.225 0.697
Pd 0.736 0.736 0.696
Pd 0.775 0.265 0.303